1.
Material: Ho3Er3Tl
Method: DFT, PBE
State: relaxed

Structure (POSCAR):
```
Ho3Er3Tl
1.0
9.331 0.000 0.000
-4.666 8.081 0.000
0.000 0.000 5.502
Ho Er Tl
6 6 2
Direct
0.063 0.242 0.250
0.178 0.937 0.250
0.242 0.178 0.750
0.758 0.822 0.250
0.822 0.063 0.750
0.937 0.758 0.750
0.106 0.480 0.750
0.374 0.894 0.750
0.480 0.374 0.250
0.520 0.626 0.750
0.626 0.106 0.250
0.894 0.520 0.250
0.333 0.667 0.250
0.667 0.333 0.750
```

Summary:
As for the crystal system: hexagonal. The density of states at the Fermi level is 18.82 states/eV per cell. The calculation puts the formation energy at -59 meV per atom.



2.
Material: KCa2GeBr8
Method: DFT, PBE
State: relaxed

Structure (POSCAR):
```
KCa2GeBr8
1.0
6.612 0.000 0.000
0.000 8.965 0.000
-0.114 0.000 6.902
K Ca Ge Br
1 2 1 8
Direct
0.000 0.000 0.000
0.500 0.253 0.500
0.500 0.747 0.500
0.000 0.500 0.000
0.237 0.290 0.153
0.237 0.710 0.153
0.246 0.500 0.671
0.274 0.000 0.635
0.726 0.000 0.365
0.754 0.500 0.329
0.763 0.290 0.847
0.763 0.710 0.847
```

Summary:
As for the crystal system: monoclinic. The density of states at the Fermi level is 5.88 states/eV per cell. The formation energy without anion corrections is -16.60 eV per formula unit.



3.
Material: La4U3PaN8
Method: DFT, PBE
State: relaxed

Structure (POSCAR):
```
La4U3PaN8
1.0
3.562 2.057 5.897
-3.562 2.057 5.897
0.000 -4.113 5.897
La U Pa N
4 3 1 8
Direct
0.000 0.000 0.000
0.000 0.500 0.500
0.500 0.000 0.500
0.500 0.500 0.000
0.000 0.000 0.500
0.000 0.500 0.000
0.500 0.000 0.000
0.500 0.500 0.500
0.227 0.735 0.735
0.232 0.232 0.232
0.265 0.265 0.773
0.265 0.773 0.265
0.735 0.227 0.735
0.735 0.735 0.227
0.768 0.768 0.768
0.773 0.265 0.265
```

Summary:
As for the crystal system: trigonal. The density of states at the Fermi level is 17.12 states/eV per cell. The formation energy without anion corrections is -22.79 eV per formula unit.



4.
Material: La4HoTh3P8
Method: DFT, PBE
State: relaxed

Structure (POSCAR):
```
La4HoTh3P8
1.0
4.180 2.413 6.864
-4.180 2.413 6.864
0.000 -4.827 6.864
La Ho Th P
4 1 3 8
Direct
0.000 0.000 0.000
0.000 0.500 0.500
0.500 0.000 0.500
0.500 0.500 0.000
0.500 0.500 0.500
0.000 0.000 0.500
0.000 0.500 0.000
0.500 0.000 0.000
0.247 0.247 0.247
0.249 0.745 0.745
0.255 0.255 0.751
0.255 0.751 0.255
0.745 0.249 0.745
0.745 0.745 0.249
0.751 0.255 0.255
0.753 0.753 0.753
```

Summary:
As for the crystal system: trigonal. The density of states at the Fermi level is 4.25 states/eV per cell. The calculation puts the formation energy at -1592 meV per atom.